[1]
Below is Li3HoCd4 after structural relaxation, with properties calculated at the PBE level.

Cell: 3.430 3.430 13.790 Å, 90.00 90.00 90.00°
Space group P4/mmm (No. 123)
Unique sites:
Li  0.000  0.000  0.000 x1
Li  0.000  0.000  0.231 x2
Ho  0.000  0.000  0.500 x1
Cd  0.500  0.500  0.115 x2
Cd  0.500  0.500  0.345 x2

Density of states at the Fermi level: 0.449 states/eV per atom
Energy: -2.012 eV/atom
Theoretical density: 6.5 g/cm3
Energy relative to the elements: -2.11 eV per formula unit
Size of the total moment: 0.1 μB/f.u.

[2]
Below is CaIr2N after structural relaxation, with properties calculated at the PBE level.

Cell: 5.072 5.072 12.356 Å, 90.00 90.00 90.00°
Space group I-42d (No. 122)
Unique sites:
Ca  0.000  0.000  0.000 x4
Ir  0.005  0.750  0.625 x8
N  0.000  0.000  0.500 x4

Density of states at the Fermi level: 0.850 states/eV per atom
Raw formation energy: 0.16 eV per atom
Energy: -6.854 eV/atom
Theoretical density: 9.2 g/cm3
Size of the total moment: 0.0 μB/f.u.

[3]
Below is CdHgAs after structural relaxation, with properties calculated at the PBE level.

Cell: 6.757 6.757 6.757 Å, 90.00 90.00 90.00°
Space group F-43m (No. 216)
Unique sites:
Cd  0.000  0.000  0.000 x4
Hg  0.000  0.000  0.500 x4
As  0.250  0.250  0.750 x4

Density of states at the Fermi level: 0.629 states/eV per atom
Energy: -1.835 eV/atom
Energy relative to the lowest polymorph listed for this composition: 0.00 eV/f.u.
Theoretical density: 8.4 g/cm3
Energy relative to the elements: 0.36 eV per formula unit
Size of the total moment: 0.0 μB/f.u.

Number 3 is which compound?
CdHgAs

Look up the density of states at the Fermi level of the third one.
0.629 states/eV per atom

What is the formula in the second record?
CaIr2N